YHfBe17 after structural relaxation, computed with PBE.

CIF file:
```
data_YHfBe17
_chemical_formula_sum 'Y1 Hf1 Be17'
_symmetry_space_group_name_H-M 'P 1'
_symmetry_Int_Tables_number 1
_cell_length_a 5.732
_cell_length_b 5.732
_cell_length_c 5.732
_cell_angle_alpha 82.97
_cell_angle_beta 82.97
_cell_angle_gamma 82.97
loop_
_symmetry_equiv_pos_as_xyz
'x,y,z'
loop_
_atom_site_label
_atom_site_fract_x
_atom_site_fract_y
_atom_site_fract_z
_atom_site_occupancy
Y1 0.000 0.000 0.000 1
Hf1 0.324 0.324 0.324 1
Be1 0.003 0.003 0.502 1
Be2 0.003 0.502 0.003 1
Be3 0.163 0.657 0.657 1
Be4 0.322 0.322 0.818 1
Be5 0.322 0.818 0.322 1
Be6 0.379 0.659 0.946 1
Be7 0.379 0.946 0.659 1
Be8 0.502 0.003 0.003 1
Be9 0.563 0.563 0.563 1
Be10 0.657 0.163 0.657 1
Be11 0.657 0.657 0.163 1
Be12 0.659 0.379 0.946 1
Be13 0.659 0.946 0.379 1
Be14 0.755 0.755 0.755 1
Be15 0.818 0.322 0.322 1
Be16 0.946 0.379 0.659 1
Be17 0.946 0.659 0.379 1
```

Calculated values
For the formation enthalpy at 0 K, the calculation gives -184 meV/atom. As for the space group: No. 160. The value obtained for the spin magnetization is 0.0 μB per formula unit. The energy comes out at -4.38 eV per atom.



YHf2Be2 after structural relaxation, computed with PBE.

CIF file:
```
data_YHf2Be2
_chemical_formula_sum 'Y2 Hf4 Be4'
_symmetry_space_group_name_H-M 'P 1'
_symmetry_Int_Tables_number 1
_cell_length_a 7.690
_cell_length_b 7.690
_cell_length_c 3.154
_cell_angle_alpha 90.00
_cell_angle_beta 90.00
_cell_angle_gamma 90.00
loop_
_symmetry_equiv_pos_as_xyz
'x,y,z'
loop_
_atom_site_label
_atom_site_fract_x
_atom_site_fract_y
_atom_site_fract_z
_atom_site_occupancy
Y1 0.000 0.000 0.000 1
Y2 0.500 0.500 0.000 1
Hf1 0.149 0.351 0.500 1
Hf2 0.351 0.851 0.500 1
Hf3 0.649 0.149 0.500 1
Hf4 0.851 0.649 0.500 1
Be1 0.153 0.653 0.000 1
Be2 0.347 0.153 0.000 1
Be3 0.653 0.847 0.000 1
Be4 0.847 0.347 0.000 1
```

Calculated values
For the formation enthalpy at 0 K, the calculation gives 117 meV/atom. For the energy above the lowest structure with this stoichiometry, the calculation gives 0 meV per atom. As for the space group: No. 127. The value obtained for the spin magnetization is 0.0 μB per formula unit. The energy comes out at -6.65 eV per atom.



YHf2Be after structural relaxation, computed with PBE.

CIF file:
```
data_YHf2Be
_chemical_formula_sum 'Y2 Hf4 Be2'
_symmetry_space_group_name_H-M 'P 1'
_symmetry_Int_Tables_number 1
_cell_length_a 10.726
_cell_length_b 10.726
_cell_length_c 10.726
_cell_angle_alpha 157.83
_cell_angle_beta 157.83
_cell_angle_gamma 31.55
loop_
_symmetry_equiv_pos_as_xyz
'x,y,z'
loop_
_atom_site_label
_atom_site_fract_x
_atom_site_fract_y
_atom_site_fract_z
_atom_site_occupancy
Y1 0.000 0.000 0.000 1
Y2 0.750 0.250 0.500 1
Hf1 0.140 0.625 0.015 1
Hf2 0.375 0.390 0.515 1
Hf3 0.610 0.125 0.985 1
Hf4 0.875 0.860 0.485 1
Be1 0.250 0.750 0.500 1
Be2 0.500 0.500 0.000 1
```

Calculated values
For the formation enthalpy at 0 K, the calculation gives 579 meV/atom. As for the space group: No. 122. The value obtained for the spin magnetization is 0.0 μB per formula unit. The energy comes out at -6.95 eV per atom.



YHfBe2 after structural relaxation, computed with PBE.

CIF file:
```
data_YHfBe2
_chemical_formula_sum 'Y1 Hf1 Be2'
_symmetry_space_group_name_H-M 'P 1'
_symmetry_Int_Tables_number 1
_cell_length_a 4.614
_cell_length_b 4.614
_cell_length_c 4.614
_cell_angle_alpha 60.00
_cell_angle_beta 60.00
_cell_angle_gamma 60.00
loop_
_symmetry_equiv_pos_as_xyz
'x,y,z'
loop_
_atom_site_label
_atom_site_fract_x
_atom_site_fract_y
_atom_site_fract_z
_atom_site_occupancy
Y1 0.000 0.000 0.000 1
Hf1 0.500 0.500 0.500 1
Be1 0.250 0.250 0.250 1
Be2 0.750 0.750 0.750 1
```

Calculated values
For the formation enthalpy at 0 K, the calculation gives 92 meV/atom. For the energy above the lowest structure with this stoichiometry, the calculation gives 87 meV per atom. As for the space group: No. 225. The value obtained for the spin magnetization is 0.0 μB per formula unit. The energy comes out at -5.88 eV per atom.



Y3HfBe after structural relaxation, computed with PBE.

CIF file:
```
data_Y3HfBe
_chemical_formula_sum 'Y3 Hf1 Be1'
_symmetry_space_group_name_H-M 'P 1'
_symmetry_Int_Tables_number 1
_cell_length_a 5.512
_cell_length_b 5.512
_cell_length_c 5.512
_cell_angle_alpha 90.00
_cell_angle_beta 90.00
_cell_angle_gamma 90.00
loop_
_symmetry_equiv_pos_as_xyz
'x,y,z'
loop_
_atom_site_label
_atom_site_fract_x
_atom_site_fract_y
_atom_site_fract_z
_atom_site_occupancy
Y1 0.000 0.000 0.500 1
Y2 0.000 0.500 0.000 1
Y3 0.500 0.000 0.000 1
Hf1 0.000 0.000 0.000 1
Be1 0.500 0.500 0.500 1
```

Calculated values
For the formation enthalpy at 0 K, the calculation gives 1142 meV/atom. For the energy above the lowest structure with this stoichiometry, the calculation gives 616 meV per atom. As for the space group: No. 221. The value obtained for the spin magnetization is 0.0 μB per formula unit. The energy comes out at -5.47 eV per atom.



YHfBe2 after structural relaxation, computed with PBE.

CIF file:
```
data_YHfBe2
_chemical_formula_sum 'Y2 Hf2 Be4'
_symmetry_space_group_name_H-M 'P 1'
_symmetry_Int_Tables_number 1
_cell_length_a 5.915
_cell_length_b 5.915
_cell_length_c 5.915
_cell_angle_alpha 107.09
_cell_angle_beta 107.09
_cell_angle_gamma 114.34
loop_
_symmetry_equiv_pos_as_xyz
'x,y,z'
loop_
_atom_site_label
_atom_site_fract_x
_atom_site_fract_y
_atom_site_fract_z
_atom_site_occupancy
Y1 0.000 0.000 0.000 1
Y2 0.750 0.250 0.500 1
Hf1 0.250 0.750 0.500 1
Hf2 0.500 0.500 0.000 1
Be1 0.145 0.625 0.020 1
Be2 0.375 0.395 0.520 1
Be3 0.605 0.125 0.980 1
Be4 0.875 0.855 0.480 1
```

Calculated values
For the formation enthalpy at 0 K, the calculation gives 639 meV/atom. For the energy above the lowest structure with this stoichiometry, the calculation gives 635 meV per atom. As for the space group: No. 122. The value obtained for the spin magnetization is 0.0 μB per formula unit. The energy comes out at -5.33 eV per atom.



Y2HfBeZn after structural relaxation, computed with PBE.

CIF file:
```
data_Y2HfBeZn
_chemical_formula_sum 'Y2 Hf1 Be1 Zn1'
_symmetry_space_group_name_H-M 'P 1'
_symmetry_Int_Tables_number 1
_cell_length_a 5.303
_cell_length_b 5.303
_cell_length_c 4.957
_cell_angle_alpha 90.00
_cell_angle_beta 90.00
_cell_angle_gamma 90.00
loop_
_symmetry_equiv_pos_as_xyz
'x,y,z'
loop_
_atom_site_label
_atom_site_fract_x
_atom_site_fract_y
_atom_site_fract_z
_atom_site_occupancy
Y1 0.000 0.500 0.000 1
Y2 0.500 0.000 0.000 1
Hf1 0.000 0.000 0.500 1
Be1 0.500 0.500 0.500 1
Zn1 0.000 0.000 0.000 1
```

Calculated values
For the formation enthalpy at 0 K, the calculation gives 786 meV/atom. As for the space group: No. 123. The value obtained for the spin magnetization is 0.0 μB per formula unit. The energy comes out at -4.79 eV per atom.



HfBeZn11 after structural relaxation, computed with PBE.

CIF file:
```
data_HfBeZn11
_chemical_formula_sum 'Hf1 Be1 Zn11'
_symmetry_space_group_name_H-M 'P 1'
_symmetry_Int_Tables_number 1
_cell_length_a 6.628
_cell_length_b 6.628
_cell_length_c 6.543
_cell_angle_alpha 98.43
_cell_angle_beta 98.43
_cell_angle_gamma 134.76
loop_
_symmetry_equiv_pos_as_xyz
'x,y,z'
loop_
_atom_site_label
_atom_site_fract_x
_atom_site_fract_y
_atom_site_fract_z
_atom_site_occupancy
Hf1 0.000 0.000 0.000 1
Be1 0.500 0.500 0.500 1
Zn1 0.000 0.000 0.500 1
Zn2 0.000 0.500 0.000 1
Zn3 0.016 0.358 0.355 1
Zn4 0.298 0.506 0.784 1
Zn5 0.358 0.016 0.355 1
Zn6 0.494 0.702 0.216 1
Zn7 0.500 0.000 0.000 1
Zn8 0.506 0.298 0.784 1
Zn9 0.642 0.984 0.645 1
Zn10 0.702 0.494 0.216 1
Zn11 0.984 0.642 0.645 1
```

Calculated values
For the formation enthalpy at 0 K, the calculation gives -59 meV/atom. As for the space group: No. 12. The value obtained for the spin magnetization is 0.0 μB per formula unit. The energy comes out at -2.19 eV per atom.



Hf2Be16Zn after structural relaxation, computed with PBE.

CIF file:
```
data_Hf2Be16Zn
_chemical_formula_sum 'Hf2 Be16 Zn1'
_symmetry_space_group_name_H-M 'P 1'
_symmetry_Int_Tables_number 1
_cell_length_a 5.708
_cell_length_b 5.708
_cell_length_c 5.708
_cell_angle_alpha 82.92
_cell_angle_beta 82.92
_cell_angle_gamma 82.92
loop_
_symmetry_equiv_pos_as_xyz
'x,y,z'
loop_
_atom_site_label
_atom_site_fract_x
_atom_site_fract_y
_atom_site_fract_z
_atom_site_occupancy
Hf1 0.000 0.000 0.000 1
Hf2 0.319 0.319 0.319 1
Be1 0.005 0.005 0.501 1
Be2 0.005 0.501 0.005 1
Be3 0.154 0.665 0.665 1
Be4 0.314 0.314 0.826 1
Be5 0.314 0.826 0.314 1
Be6 0.369 0.662 0.955 1
Be7 0.369 0.955 0.662 1
Be8 0.501 0.005 0.005 1
Be9 0.662 0.369 0.955 1
Be10 0.662 0.955 0.369 1
Be11 0.665 0.154 0.665 1
Be12 0.665 0.665 0.154 1
Be13 0.765 0.765 0.765 1
Be14 0.826 0.314 0.314 1
Be15 0.955 0.369 0.662 1
Be16 0.955 0.662 0.369 1
Zn1 0.565 0.565 0.565 1
```

Calculated values
For the formation enthalpy at 0 K, the calculation gives -211 meV/atom. As for the space group: No. 160. The value obtained for the spin magnetization is 0.0 μB per formula unit. The energy comes out at -4.46 eV per atom.



Hf3BeZn after structural relaxation, computed with PBE.

CIF file:
```
data_Hf3BeZn
_chemical_formula_sum 'Hf3 Be1 Zn1'
_symmetry_space_group_name_H-M 'P 1'
_symmetry_Int_Tables_number 1
_cell_length_a 4.630
_cell_length_b 4.630
_cell_length_c 4.630
_cell_angle_alpha 90.00
_cell_angle_beta 90.00
_cell_angle_gamma 90.00
loop_
_symmetry_equiv_pos_as_xyz
'x,y,z'
loop_
_atom_site_label
_atom_site_fract_x
_atom_site_fract_y
_atom_site_fract_z
_atom_site_occupancy
Hf1 0.000 0.000 0.500 1
Hf2 0.000 0.500 0.000 1
Hf3 0.500 0.000 0.000 1
Be1 0.000 0.000 0.000 1
Zn1 0.500 0.500 0.500 1
```

Calculated values
For the formation enthalpy at 0 K, the calculation gives 299 meV/atom. For the energy above the lowest structure with this stoichiometry, the calculation gives 0 meV per atom. As for the space group: No. 221. The value obtained for the spin magnetization is 0.0 μB per formula unit. The energy comes out at -6.67 eV per atom.



Hf2Be2Zn after structural relaxation, computed with PBE.

CIF file:
```
data_Hf2Be2Zn
_chemical_formula_sum 'Hf2 Be2 Zn1'
_symmetry_space_group_name_H-M 'P 1'
_symmetry_Int_Tables_number 1
_cell_length_a 5.221
_cell_length_b 5.221
_cell_length_c 5.221
_cell_angle_alpha 142.11
_cell_angle_beta 119.25
_cell_angle_gamma 73.87
loop_
_symmetry_equiv_pos_as_xyz
'x,y,z'
loop_
_atom_site_label
_atom_site_fract_x
_atom_site_fract_y
_atom_site_fract_z
_atom_site_occupancy
Hf1 0.216 0.216 0.000 1
Hf2 0.784 0.784 0.000 1
Be1 0.202 0.500 0.702 1
Be2 0.798 0.500 0.298 1
Zn1 0.500 0.000 0.500 1
```

Calculated values
For the formation enthalpy at 0 K, the calculation gives -161 meV/atom. For the energy above the lowest structure with this stoichiometry, the calculation gives 70 meV per atom. As for the space group: No. 71. The value obtained for the spin magnetization is 0.0 μB per formula unit. The energy comes out at -5.89 eV per atom.



Hf6BeZn5 after structural relaxation, computed with PBE.

CIF file:
```
data_Hf6BeZn5
_chemical_formula_sum 'Hf6 Be1 Zn5'
_symmetry_space_group_name_H-M 'P 1'
_symmetry_Int_Tables_number 1
_cell_length_a 8.020
_cell_length_b 8.020
_cell_length_c 8.020
_cell_angle_alpha 146.40
_cell_angle_beta 131.84
_cell_angle_gamma 60.00
loop_
_symmetry_equiv_pos_as_xyz
'x,y,z'
loop_
_atom_site_label
_atom_site_fract_x
_atom_site_fract_y
_atom_site_fract_z
_atom_site_occupancy
Hf1 0.082 0.337 0.746 1
Hf2 0.242 0.000 0.242 1
Hf3 0.409 0.663 0.746 1
Hf4 0.591 0.337 0.254 1
Hf5 0.758 0.000 0.758 1
Hf6 0.918 0.663 0.254 1
Be1 0.000 0.500 0.500 1
Zn1 0.172 0.172 0.000 1
Zn2 0.334 0.834 0.500 1
Zn3 0.500 0.500 0.000 1
Zn4 0.666 0.166 0.500 1
Zn5 0.828 0.828 0.000 1
```

Calculated values
For the formation enthalpy at 0 K, the calculation gives -163 meV/atom. As for the space group: No. 71. The value obtained for the spin magnetization is 0.0 μB per formula unit. The energy comes out at -5.98 eV per atom.